Density functional theory data (GGA-PBE) for a relaxed structure of DyYRh.

Cell and atoms, written as CIF:
```
data_DyYRh
_chemical_formula_sum 'Dy2 Y2 Rh2'
_cell_length_a 3.458
_cell_length_b 3.458
_cell_length_c 12.647
_cell_angle_alpha 90.00
_cell_angle_beta 90.00
_cell_angle_gamma 90.00
_space_group_name_H-M_alt 'I 4 m m'
_space_group_IT_number 107
_space_group_name_Hall 'I 4 -2'
loop_
_atom_site_label
_atom_site_fract_x
_atom_site_fract_y
_atom_site_fract_z
_atom_site_occupancy
Dy1 0.000 0.000 0.000 1
Y1 0.000 0.000 0.262 1
Rh1 0.000 0.000 0.629 1
```

ΔH_f (0 K) ... -0.550 eV/atom
Calculated density ... 7.8 g/cm3
Total moment ... 0.00 μB per formula unit

Density functional theory data (GGA-PBE) for a relaxed structure of AcTbScGa.

Cell and atoms, written as CIF:
```
data_AcTbScGa
_chemical_formula_sum 'Ac4 Tb4 Sc4 Ga4'
_cell_length_a 7.575
_cell_length_b 7.575
_cell_length_c 7.575
_cell_angle_alpha 90.00
_cell_angle_beta 90.00
_cell_angle_gamma 90.00
_space_group_name_H-M_alt 'F -4 3 m'
_space_group_IT_number 216
_space_group_name_Hall 'F -4 2 3'
loop_
_atom_site_label
_atom_site_fract_x
_atom_site_fract_y
_atom_site_fract_z
_atom_site_occupancy
Ac1 0.000 0.000 0.000 1
Tb1 0.250 0.250 0.250 1
Sc1 0.250 0.250 0.750 1
Ga1 0.000 0.000 0.500 1
```

ΔH_f (0 K) ... 0.060 eV/atom
Calculated density ... 7.6 g/cm3
Total moment ... 0.02 μB per formula unit

Density functional theory data (GGA-PBE) for a relaxed structure of AcAgTe2O6.

Cell and atoms, written as CIF:
```
data_AcAgTe2O6
_chemical_formula_sum 'Ac4 Ag4 Te8 O24'
_cell_length_a 9.656
_cell_length_b 12.685
_cell_length_c 7.366
_cell_angle_alpha 90.00
_cell_angle_beta 125.99
_cell_angle_gamma 90.00
_space_group_name_H-M_alt 'C 1 2/c 1'
_space_group_IT_number 15
loop_
_space_group_symop_operation_xyz
'x,y,z'
'-x,-y,-z'
'-x,y,-z+1/2'
'x,-y,z+1/2'
'x+1/2,y+1/2,z'
'-x+1/2,-y+1/2,-z'
'-x+1/2,y+1/2,-z+1/2'
'x+1/2,-y+1/2,z+1/2'
loop_
_atom_site_label
_atom_site_fract_x
_atom_site_fract_y
_atom_site_fract_z
_atom_site_occupancy
Ac1 0.000 0.094 0.250 1
Ag1 0.000 0.222 0.750 1
Te1 0.127 0.391 0.156 1
O1 0.129 0.242 0.125 1
O2 0.132 0.069 0.686 1
O3 0.163 0.392 0.440 1
```

E_form (uncorrected) ... -1547.4 meV per atom
Calculated density ... 6.2 g/cm3
Total moment ... 0.00 μB per formula unit

Density functional theory data (GGA-PBE) for a relaxed structure of TmGaC.

Cell and atoms, written as CIF:
```
data_TmGaC
_chemical_formula_sum 'Tm4 Ga4 C4'
_cell_length_a 3.589
_cell_length_b 3.589
_cell_length_c 16.955
_cell_angle_alpha 90.00
_cell_angle_beta 90.00
_cell_angle_gamma 90.00
_space_group_name_H-M_alt 'I 4/m m m'
_space_group_IT_number 139
_space_group_name_Hall '-I 4 2'
loop_
_atom_site_label
_atom_site_fract_x
_atom_site_fract_y
_atom_site_fract_z
_atom_site_occupancy
Tm1 0.000 0.000 0.182 1
Ga1 0.000 0.000 0.432 1
C1 0.000 0.000 0.320 1
```

ΔH_f (0 K) ... -0.164 eV/atom
Calculated density ... 7.6 g/cm3
Total moment ... 0.00 μB per formula unit

Density functional theory data (GGA-PBE) for a relaxed structure of NpHg2Br8.

Cell and atoms, written as CIF:
```
data_NpHg2Br8
_chemical_formula_sum 'Np2 Hg4 Br16'
_cell_length_a 13.680
_cell_length_b 9.748
_cell_length_c 6.796
_cell_angle_alpha 90.00
_cell_angle_beta 95.88
_cell_angle_gamma 90.00
_space_group_name_H-M_alt 'C 1 2/m 1'
_space_group_IT_number 12
loop_
_space_group_symop_operation_xyz
'x,y,z'
'-x,-y,-z'
'-x,y,-z'
'x,-y,z'
'x+1/2,y+1/2,z'
'-x+1/2,-y+1/2,-z'
'-x+1/2,y+1/2,-z'
'x+1/2,-y+1/2,z'
loop_
_atom_site_label
_atom_site_fract_x
_atom_site_fract_y
_atom_site_fract_z
_atom_site_occupancy
Np1 0.000 0.000 0.000 1
Hg1 0.218 0.000 0.720 1
Br1 0.087 0.202 0.776 1
Br2 0.102 0.500 0.297 1
Br3 0.168 0.000 0.255 1
```

E_form (uncorrected) ... -753.8 meV per atom
Calculated density ... 4.7 g/cm3
Total moment ... 3.00 μB per formula unit

Density functional theory data (GGA-PBE) for a relaxed structure of BaTm2OsO8.

Cell and atoms, written as CIF:
```
data_BaTm2OsO8
_chemical_formula_sum 'Ba1 Tm2 Os1 O8'
_cell_length_a 5.118
_cell_length_b 7.167
_cell_length_c 5.120
_cell_angle_alpha 90.00
_cell_angle_beta 94.29
_cell_angle_gamma 90.00
_space_group_name_H-M_alt 'P 1 2/m 1'
_space_group_IT_number 10
loop_
_space_group_symop_operation_xyz
'x,y,z'
'-x,-y,-z'
'-x,y,-z'
'x,-y,z'
loop_
_atom_site_label
_atom_site_fract_x
_atom_site_fract_y
_atom_site_fract_z
_atom_site_occupancy
Ba1 0.000 0.000 0.000 1
Tm1 0.500 0.236 0.500 1
Os1 0.000 0.500 0.000 1
O1 0.193 0.316 0.192 1
O2 0.250 0.500 0.749 1
O3 0.332 0.000 0.666 1
```

E_form (uncorrected) ... -2251.5 meV per atom
Calculated density ... 7.0 g/cm3
Total moment ... 0.00 μB per formula unit

Density functional theory data (GGA-PBE) for a relaxed structure of TaTeAs.

Cell and atoms, written as CIF:
```
data_TaTeAs
_chemical_formula_sum 'Ta1 Te1 As1'
_cell_length_a 4.5578
_cell_length_b 4.5578
_cell_length_c 3.4903
_cell_angle_alpha 90.00
_cell_angle_beta 90.00
_cell_angle_gamma 120.00
_space_group_name_H-M_alt 'P -6 m 2'
_space_group_IT_number 187
_space_group_name_Hall 'P -6 2'
loop_
_atom_site_label
_atom_site_fract_x
_atom_site_fract_y
_atom_site_fract_z
_atom_site_occupancy
Ta1 0.0000 0.0000 0.0000 1
Te1 0.6667 0.3333 0.5000 1
As1 0.3333 0.6667 0.0000 1
```

E_form (uncorrected) ... 122.4 meV per atom
Calculated density ... 10.1 g/cm3
Total moment ... 0.00 μB per formula unit

Density functional theory data (GGA-PBE) for a relaxed structure of Pr4Ho5Er2.

Cell and atoms, written as CIF:
```
data_Pr4Ho5Er2
_chemical_formula_sum 'Pr8 Ho10 Er4'
_cell_length_a 19.173
_cell_length_b 5.662
_cell_length_c 6.672
_cell_angle_alpha 90.00
_cell_angle_beta 90.70
_cell_angle_gamma 90.00
_space_group_name_H-M_alt 'C 1 2/m 1'
_space_group_IT_number 12
loop_
_space_group_symop_operation_xyz
'x,y,z'
'-x,-y,-z'
'-x,y,-z'
'x,-y,z'
'x+1/2,y+1/2,z'
'-x+1/2,-y+1/2,-z'
'-x+1/2,y+1/2,-z'
'x+1/2,-y+1/2,z'
loop_
_atom_site_label
_atom_site_fract_x
_atom_site_fract_y
_atom_site_fract_z
_atom_site_occupancy
Pr1 0.020 0.000 0.288 1
Pr2 0.193 0.500 0.072 1
Ho1 0.000 0.500 0.000 1
Ho2 0.130 0.000 0.887 1
Ho3 0.209 0.000 0.402 1
Er1 0.098 0.500 0.556 1
```

ΔH_f (0 K) ... 0.108 eV/atom
Calculated density ... 7.9 g/cm3
Total moment ... 0.00 μB per formula unit

Number 1: V 25.21 A^3/atom. Number 2: V 27.17 A^3/atom. Number 3: V 18.25 A^3/atom. Number 4: V 18.20 A^3/atom. Number 5: V 40.98 A^3/atom. Number 6: V 15.61 A^3/atom. Number 7: V 20.93 A^3/atom. Number 8: V 32.92 A^3/atom.